# 1
A plane-wave DFT calculation with PBE was carried out for Tb2DyY6Tm after structural relaxation.

The calculated volume comes out at 323.28 Å³/f.u. The crystal system is monoclinic. The formation energy is 0.116 eV/atom.

```
data_Tb2DyY6Tm
_cell_length_a 8.759
_cell_length_b 8.759
_cell_length_c 9.624
_cell_angle_alpha 94.45
_cell_angle_beta 94.45
_cell_angle_gamma 117.66
_space_group_name_H-M_alt 'P 1'
_space_group_IT_number 1
_space_group_name_Hall 'P 1'
loop_
_atom_site_label
_atom_site_fract_x
_atom_site_fract_y
_atom_site_fract_z
Tb1 0.197 0.299 0.045
Tb2 0.299 0.197 0.545
Tb3 0.701 0.803 0.455
Tb4 0.803 0.701 0.955
Dy1 0.022 0.978 0.250
Dy2 0.978 0.022 0.750
Y1 0.016 0.571 0.185
Y2 0.123 0.752 0.556
Y3 0.248 0.877 0.944
Y4 0.292 0.504 0.382
Y5 0.429 0.984 0.315
Y6 0.496 0.708 0.118
Y7 0.504 0.292 0.882
Y8 0.571 0.016 0.685
Y9 0.708 0.496 0.618
Y10 0.752 0.123 0.056
Y11 0.877 0.248 0.444
Y12 0.984 0.429 0.815
Tm1 0.408 0.592 0.750
Tm2 0.592 0.408 0.250
```

=====

# 2
A plane-wave DFT calculation with PBE was carried out for Tb2Dy4Y2Tm after structural relaxation.

The calculated volume comes out at 284.85 Å³/f.u. The crystal system is monoclinic. The formation energy is 0.001 eV/atom.

```
data_Tb2Dy4Y2Tm
_cell_length_a 9.465
_cell_length_b 9.465
_cell_length_c 9.509
_cell_angle_alpha 115.26
_cell_angle_beta 115.26
_cell_angle_gamma 21.79
_space_group_name_H-M_alt 'P 1'
_space_group_IT_number 1
_space_group_name_Hall 'P 1'
loop_
_atom_site_label
_atom_site_fract_x
_atom_site_fract_y
_atom_site_fract_z
Tb1 0.166 0.166 0.001
Tb2 0.834 0.834 0.999
Dy1 0.019 0.019 0.332
Dy2 0.315 0.315 0.666
Dy3 0.685 0.685 0.334
Dy4 0.981 0.981 0.668
Y1 0.353 0.353 0.334
Y2 0.647 0.647 0.666
Tm1 0.500 0.500 0.000
```

=====

# 3
A plane-wave DFT calculation with PBE was carried out for TbDyY2Tm6 after structural relaxation.

The calculated volume comes out at 313.21 Å³/f.u. The crystal system is monoclinic. The formation energy is 0.129 eV/atom.

```
data_TbDyY2Tm6
_cell_length_a 8.698
_cell_length_b 8.698
_cell_length_c 9.423
_cell_angle_alpha 93.63
_cell_angle_beta 93.63
_cell_angle_gamma 117.70
_space_group_name_H-M_alt 'P 1'
_space_group_IT_number 1
_space_group_name_Hall 'P 1'
loop_
_atom_site_label
_atom_site_fract_x
_atom_site_fract_y
_atom_site_fract_z
Tb1 0.025 0.975 0.750
Tb2 0.975 0.025 0.250
Dy1 0.409 0.591 0.250
Dy2 0.591 0.409 0.750
Y1 0.197 0.302 0.545
Y2 0.302 0.197 0.045
Y3 0.698 0.803 0.955
Y4 0.803 0.698 0.455
Tm1 0.021 0.570 0.685
Tm2 0.125 0.751 0.058
Tm3 0.249 0.875 0.442
Tm4 0.290 0.509 0.882
Tm5 0.430 0.979 0.815
Tm6 0.491 0.710 0.618
Tm7 0.509 0.290 0.382
Tm8 0.570 0.021 0.185
Tm9 0.710 0.491 0.118
Tm10 0.751 0.125 0.558
Tm11 0.875 0.249 0.942
Tm12 0.979 0.430 0.315
```

=====

# 4
A plane-wave DFT calculation with PBE was carried out for Tb5DyY2Tm after structural relaxation.

The calculated volume comes out at 293.85 Å³/f.u. The crystal system is orthorhombic. The formation energy is 0.151 eV/atom.

```
data_Tb5DyY2Tm
_cell_length_a 10.299
_cell_length_b 10.299
_cell_length_c 10.579
_cell_angle_alpha 90.00
_cell_angle_beta 90.00
_cell_angle_gamma 148.42
_space_group_name_H-M_alt 'P 1'
_space_group_IT_number 1
_space_group_name_Hall 'P 1'
loop_
_atom_site_label
_atom_site_fract_x
_atom_site_fract_y
_atom_site_fract_z
Tb1 0.019 0.981 0.500
Tb2 0.282 0.718 0.787
Tb3 0.299 0.701 0.184
Tb4 0.389 0.611 0.500
Tb5 0.480 0.520 0.218
Tb6 0.520 0.480 0.718
Tb7 0.611 0.389 0.000
Tb8 0.701 0.299 0.684
Tb9 0.718 0.282 0.287
Tb10 0.981 0.019 0.000
Dy1 0.413 0.587 0.936
Dy2 0.587 0.413 0.436
Y1 0.110 0.890 0.214
Y2 0.114 0.886 0.795
Y3 0.886 0.114 0.295
Y4 0.890 0.110 0.714
Tm1 0.200 0.800 0.488
Tm2 0.800 0.200 0.988
```

=====

# 5
A plane-wave DFT calculation with PBE was carried out for Tb6DyYTm2 after structural relaxation.

The calculated volume comes out at 320.76 Å³/f.u. The crystal system is monoclinic. The formation energy is 0.118 eV/atom.

```
data_Tb6DyYTm2
_cell_length_a 8.773
_cell_length_b 8.773
_cell_length_c 9.517
_cell_angle_alpha 93.72
_cell_angle_beta 93.72
_cell_angle_gamma 118.02
_space_group_name_H-M_alt 'P 1'
_space_group_IT_number 1
_space_group_name_Hall 'P 1'
loop_
_atom_site_label
_atom_site_fract_x
_atom_site_fract_y
_atom_site_fract_z
Tb1 0.019 0.568 0.184
Tb2 0.123 0.754 0.555
Tb3 0.246 0.877 0.945
Tb4 0.290 0.504 0.380
Tb5 0.432 0.981 0.316
Tb6 0.496 0.710 0.120
Tb7 0.504 0.290 0.880
Tb8 0.568 0.019 0.684
Tb9 0.710 0.496 0.620
Tb10 0.754 0.123 0.055
Tb11 0.877 0.246 0.445
Tb12 0.981 0.432 0.816
Dy1 0.409 0.591 0.750
Dy2 0.591 0.409 0.250
Y1 0.024 0.976 0.250
Y2 0.976 0.024 0.750
Tm1 0.197 0.304 0.044
Tm2 0.304 0.197 0.544
Tm3 0.696 0.803 0.456
Tm4 0.803 0.696 0.956
```

=====

# 6
A plane-wave DFT calculation with PBE was carried out for TbDyTmZn after structural relaxation.

The calculated volume comes out at 105.71 Å³/f.u. The crystal system is cubic. The formation energy is 0.031 eV/atom.

```
data_TbDyTmZn
_cell_length_a 5.307
_cell_length_b 5.307
_cell_length_c 5.307
_cell_angle_alpha 60.00
_cell_angle_beta 60.00
_cell_angle_gamma 60.00
_space_group_name_H-M_alt 'P 1'
_space_group_IT_number 1
_space_group_name_Hall 'P 1'
loop_
_atom_site_label
_atom_site_fract_x
_atom_site_fract_y
_atom_site_fract_z
Tb1 0.000 0.000 0.000
Dy1 0.500 0.500 0.500
Tm1 0.250 0.250 0.250
Zn1 0.750 0.750 0.750
```

=====

# 7
A plane-wave DFT calculation with PBE was carried out for TbDyTmZn after structural relaxation.

The calculated volume comes out at 107.82 Å³/f.u. The crystal system is tetragonal. The formation energy is -0.163 eV/atom.

```
data_TbDyTmZn
_cell_length_a 3.545
_cell_length_b 3.545
_cell_length_c 8.581
_cell_angle_alpha 90.00
_cell_angle_beta 90.00
_cell_angle_gamma 90.00
_space_group_name_H-M_alt 'P 1'
_space_group_IT_number 1
_space_group_name_Hall 'P 1'
loop_
_atom_site_label
_atom_site_fract_x
_atom_site_fract_y
_atom_site_fract_z
Tb1 0.000 0.000 0.000
Dy1 0.500 0.500 0.704
Tm1 0.500 0.500 0.293
Zn1 0.000 0.000 0.493
```

=====

# 8
A plane-wave DFT calculation with PBE was carried out for TbDy2Tm5Zr after structural relaxation.

The calculated volume comes out at 272.46 Å³/f.u. The crystal system is orthorhombic. The formation energy is 0.180 eV/atom.

```
data_TbDy2Tm5Zr
_cell_length_a 10.465
_cell_length_b 10.465
_cell_length_c 9.855
_cell_angle_alpha 90.00
_cell_angle_beta 90.00
_cell_angle_gamma 149.67
_space_group_name_H-M_alt 'P 1'
_space_group_IT_number 1
_space_group_name_Hall 'P 1'
loop_
_atom_site_label
_atom_site_fract_x
_atom_site_fract_y
_atom_site_fract_z
Tb1 0.096 0.904 0.500
Tb2 0.904 0.096 0.000
Dy1 0.378 0.622 0.787
Dy2 0.389 0.611 0.370
Dy3 0.611 0.389 0.870
Dy4 0.622 0.378 0.287
Tm1 0.020 0.980 0.796
Tm2 0.130 0.870 0.081
Tm3 0.200 0.800 0.759
Tm4 0.233 0.767 0.390
Tm5 0.484 0.516 0.071
Tm6 0.516 0.484 0.571
Tm7 0.767 0.233 0.890
Tm8 0.800 0.200 0.259
Tm9 0.870 0.130 0.581
Tm10 0.980 0.020 0.296
Zr1 0.309 0.691 0.076
Zr2 0.691 0.309 0.576
```

=====

# 9
A plane-wave DFT calculation with PBE was carried out for Tb2Dy6Tm3Zr after structural relaxation.

The calculated volume comes out at 362.51 Å³/f.u. The crystal system is monoclinic. The formation energy is 0.045 eV/atom.

```
data_Tb2Dy6Tm3Zr
_cell_length_a 6.054
_cell_length_b 6.054
_cell_length_c 11.582
_cell_angle_alpha 94.96
_cell_angle_beta 94.96
_cell_angle_gamma 119.90
_space_group_name_H-M_alt 'P 1'
_space_group_IT_number 1
_space_group_name_Hall 'P 1'
loop_
_atom_site_label
_atom_site_fract_x
_atom_site_fract_y
_atom_site_fract_z
Tb1 0.167 0.833 0.000
Tb2 0.833 0.167 0.000
Dy1 0.091 0.418 0.753
Dy2 0.255 0.255 0.246
Dy3 0.418 0.091 0.753
Dy4 0.582 0.909 0.247
Dy5 0.745 0.745 0.754
Dy6 0.909 0.582 0.247
Tm1 0.000 0.000 0.500
Tm2 0.333 0.667 0.500
Tm3 0.667 0.333 0.500
Zr1 0.500 0.500 0.000
```

=====

# 10
A plane-wave DFT calculation with PBE was carried out for Tb2DyTm5Zr after structural relaxation.

The calculated volume comes out at 272.84 Å³/f.u. The crystal system is orthorhombic. The formation energy is 0.178 eV/atom.

```
data_Tb2DyTm5Zr
_cell_length_a 10.429
_cell_length_b 10.429
_cell_length_c 9.920
_cell_angle_alpha 90.00
_cell_angle_beta 90.00
_cell_angle_gamma 149.62
_space_group_name_H-M_alt 'P 1'
_space_group_IT_number 1
_space_group_name_Hall 'P 1'
loop_
_atom_site_label
_atom_site_fract_x
_atom_site_fract_y
_atom_site_fract_z
Tb1 0.111 0.889 0.500
Tb2 0.120 0.880 0.080
Tb3 0.880 0.120 0.580
Tb4 0.889 0.111 0.000
Dy1 0.404 0.596 0.364
Dy2 0.596 0.404 0.864
Tm1 0.016 0.984 0.797
Tm2 0.268 0.732 0.480
Tm3 0.299 0.701 0.111
Tm4 0.368 0.632 0.789
Tm5 0.482 0.518 0.073
Tm6 0.518 0.482 0.573
Tm7 0.632 0.368 0.289
Tm8 0.701 0.299 0.611
Tm9 0.732 0.268 0.980
Tm10 0.984 0.016 0.297
Zr1 0.191 0.809 0.794
Zr2 0.809 0.191 0.294
```